Material: RbVRhO6
Method: DFT, PBE+U
State: optimized geometry

Its density of states at the Fermi level is 5.066 states/eV per cell. For the total moment, the calculation gives 1.83 Bohr magnetons per cell. The electronic total energy comes out at -55.95 eV/cell. As for the crystal system: trigonal.

The structure belongs to space group P312 (No. 149); the cell edges are 5.1802, 5.1802 and 6.3629 Å and the angles 90.00°, 90.00° and 120.00°. The distinct sites, in fractional coordinates, are Rb at (0.0000, 0.0000, 0.0000), V at (0.3333, 0.6667, 0.5000), Rh at (0.6667, 0.3333, 0.5000) and O at (0.0075, 0.3984, 0.6701).